Pr2ReH, optimized geometry, DFT PBE-GGA; DOS at the Fermi energy = 3.93 states/eV/f.u.; symmetry = R-3m, No. 166; spin magnetization = 0.00 μB per cell; electronic total energy = -5.653 eV/atom
1.0
1.579 0.911 9.149
-1.579 0.911 9.149
0.000 -1.823 9.149
Pr Re H
2 1 1
direct
0.103 0.103 0.103
0.897 0.897 0.897
0.000 0.000 0.000
0.500 0.500 0.500



PrReH6, optimized geometry, DFT PBE-GGA; DOS at the Fermi energy = 1.17 states/eV/f.u.; symmetry = C2/c, No. 15; spin magnetization = 4.00 μB per cell; electronic total energy = -4.730 eV/atom
1.0
4.337 -2.221 0.000
4.337 2.221 0.000
-1.871 0.000 8.028
Pr Re H
2 2 12
direct
0.165 0.835 0.750
0.835 0.165 0.250
0.000 0.500 0.000
0.500 0.000 0.500
0.073 0.206 0.537
0.206 0.073 0.037
0.216 0.336 0.819
0.288 0.595 0.115
0.336 0.216 0.319
0.405 0.712 0.385
0.595 0.288 0.615
0.664 0.784 0.681
0.712 0.405 0.885
0.784 0.664 0.181
0.794 0.927 0.963
0.927 0.794 0.463